# 1
TiCd5 | GGA-PBE | optimized geometry

Calculated values
Magnetization: 0.1185 μB per atom
DOS at the Fermi energy: 0.595 states/eV/atom
ρ: 8.12 Mg/m³
DFT formation energy: 0.029 eV per atom

Unit cell a=4.439 b=4.395 c=6.759 alpha=108.97 beta=90.00 gamma=90.00
Positions (direct):
Cd: 0.500 0.841 0.682
Cd: 0.000 0.667 0.334
Ti: 0.000 0.000 0.000
Cd: 0.000 0.333 0.666
Cd: 0.500 0.500 0.000
Cd: 0.500 0.159 0.318

***

# 2
TiCd | GGA-PBE | optimized geometry

Calculated values
Magnetization: 0.2249 μB per atom
DOS at the Fermi energy: 1.226 states/eV/atom
ρ: 6.95 Mg/m³
DFT formation energy: 0.094 eV per atom

Unit cell a=8.783 b=4.000 c=8.716 alpha=90.00 beta=90.00 gamma=90.00
Positions (direct):
Ti: 0.613 0.250 0.000
Ti: 0.386 0.250 0.763
Cd: 0.867 0.250 0.251
Cd: 0.631 0.250 0.501
Ti: 0.886 0.250 0.737
Ti: 0.887 0.750 0.500
Ti: 0.114 0.750 0.263
Ti: 0.387 0.750 0.000
Cd: 0.869 0.750 0.001
Cd: 0.133 0.750 0.749
Cd: 0.369 0.750 0.499
Cd: 0.131 0.250 0.999
Cd: 0.367 0.250 0.249
Cd: 0.633 0.750 0.751
Ti: 0.113 0.250 0.500
Ti: 0.614 0.750 0.237

***

# 3
Ti3Cd | GGA-PBE | optimized geometry

Calculated values
Magnetization: 0.0000 μB per atom
DOS at the Fermi energy: 1.109 states/eV/atom
ρ: 5.87 Mg/m³
DFT formation energy: -0.028 eV per atom

Unit cell a=2.874 b=2.874 c=8.766 alpha=90.00 beta=90.00 gamma=90.03
Positions (direct):
Ti: 0.000 0.000 0.500
Ti: 0.500 0.500 0.270
Cd: 0.000 0.000 0.000
Ti: 0.500 0.500 0.730

***

# 4
TiCd | GGA-PBE | optimized geometry

Calculated values
Magnetization: 0.0000 μB per atom
DOS at the Fermi energy: 0.806 states/eV/atom
ρ: 6.98 Mg/m³
DFT formation energy: 0.033 eV per atom

Unit cell a=3.131 b=6.567 c=3.710 alpha=90.00 beta=90.00 gamma=90.00
Positions (direct):
Ti: 0.000 0.604 0.000
Cd: 0.000 0.135 0.000
Ti: 0.500 0.396 0.500
Cd: 0.500 0.865 0.500